[1]
Compound: SiSeCl2
Source: Alexandria via LeMat-Bulk
Functional: GGA-PBE
Structure: relaxed

Geometry as POSCAR:
```
SiSeCl2
1.0
-1.700 -4.537 0.984
-4.689 -1.165 -1.050
-1.003 -3.121 -3.701
Si Se Cl
1 1 2
Cartesian
0.000 0.000 0.000
-3.696 -4.412 -1.884
-1.848 -2.206 -0.942
-5.544 -6.617 -2.825
```

Results
As for the formation energy without anion corrections: 213 kJ/mol of formula units. Its energy above the most stable polymorph in this dataset is 0.859 eV per atom. The magnetic moment comes out at 2.0 μB/cell. Its density is 3.46 g cm⁻³. The crystal system is cubic.

[2]
Compound: Si2SbOs
Source: Alexandria via LeMat-Bulk
Functional: GGA-PBE
Structure: relaxed

Geometry as POSCAR:
```
Si2SbOs
1.0
-3.406 -2.296 0.027
3.792 -2.494 -2.166
1.344 -3.001 2.462
Os Sb Si
1 1 2
Cartesian
2.568 -2.747 0.148
0.193 -2.395 -1.070
0.000 0.000 0.000
-1.031 -2.648 1.244
```

Results
As for the formation energy without anion corrections: 239 kJ/mol of formula units. The magnetic moment comes out at 0.0 μB/cell. Its density is 8.62 g cm⁻³. The crystal system is orthorhombic.

[3]
Compound: KSbSe
Source: Alexandria via LeMat-Bulk
Functional: GGA-PBE
Structure: relaxed

Geometry as POSCAR:
```
KSbSe
1.0
-2.807 0.828 -2.815
-2.579 -5.083 1.078
-2.294 8.823 4.883
K Sb Se
2 2 2
Cartesian
-3.887 2.440 2.478
-4.183 6.198 3.878
-3.490 1.471 -1.132
-5.092 -0.828 -0.211
-6.924 4.103 3.067
-3.952 5.362 0.473
```

Results
As for the formation energy without anion corrections: -166 kJ/mol of formula units. Its energy above the most stable polymorph in this dataset is 0.114 eV per atom. The magnetic moment comes out at 0.0 μB/cell. Its density is 3.95 g cm⁻³. The crystal system is orthorhombic.

[4]
Compound: InCuTe2
Source: Alexandria via LeMat-Bulk
Functional: GGA-PBE
Structure: relaxed

Geometry as POSCAR:
```
InCuTe2
1.0
-4.688 -0.236 2.272
-4.045 -2.050 -2.575
-1.959 -4.606 1.464
Cu In Te
1 1 2
Cartesian
-5.347 -3.446 0.580
-8.020 -5.169 0.871
0.000 0.000 0.000
-2.673 -1.723 0.290
```

Results
As for the formation energy without anion corrections: 137 kJ/mol of formula units. The magnetic moment comes out at 0.0 μB/cell. Its density is 7.18 g cm⁻³. The crystal system is cubic.

[5]
Compound: La2NpPaN4
Source: Alexandria via LeMat-Bulk
Functional: GGA-PBE
Structure: relaxed

Geometry as POSCAR:
```
La2NpPaN4
1.0
-0.074 2.596 2.451
-1.668 -4.126 4.318
6.282 0.380 -0.212
La Np Pa N
2 1 1 4
Cartesian
3.104 1.488 1.120
2.307 -1.873 2.053
-0.871 -0.765 3.385
0.000 0.000 0.000
0.861 0.423 2.180
3.679 -1.573 4.378
4.567 -0.795 0.980
0.047 -2.951 3.127
```

Results
As for the formation energy without anion corrections: -1079 kJ/mol of formula units. The magnetic moment comes out at 3.0 μB/cell. Its density is 10.12 g cm⁻³. The crystal system is monoclinic.

[6]
Compound: ScSn3Cl
Source: Alexandria via LeMat-Bulk
Functional: GGA-PBE
Structure: relaxed

Geometry as POSCAR:
```
ScSn3Cl
1.0
5.282 0.000 0.000
0.000 5.282 0.000
0.000 0.000 5.282
Sc Sn Cl
1 3 1
Cartesian
2.641 2.641 2.641
0.000 2.641 0.000
0.000 0.000 2.641
2.641 0.000 0.000
0.000 0.000 0.000
```

Results
As for the formation energy without anion corrections: 142 kJ/mol of formula units. Its energy above the most stable polymorph in this dataset is 0.069 eV per atom. The magnetic moment comes out at 0.0 μB/cell. Its density is 4.92 g cm⁻³. The crystal system is cubic.

[7]
Compound: La6C3F2
Source: Alexandria via LeMat-Bulk
Functional: GGA-PBE
Structure: relaxed

Geometry as POSCAR:
```
La6C3F2
1.0
-4.315 2.444 4.314
-6.412 -1.259 -0.694
-0.798 -4.452 5.065
La C F
6 3 2
Cartesian
-6.626 -3.285 5.229
-3.840 -1.641 7.158
-3.091 -3.703 3.995
-1.274 -0.368 2.221
-4.900 0.017 3.457
-8.435 0.436 4.691
0.000 0.000 0.000
-3.596 0.383 1.193
-7.132 0.802 2.427
-5.397 -2.660 2.787
-6.130 -0.607 5.899
```

Results
As for the formation energy without anion corrections: -1170 kJ/mol of formula units. The magnetic moment comes out at 1.1 μB/cell. Its density is 6.27 g cm⁻³. The crystal system is monoclinic.

[8]
Compound: Li4ScBe
Source: Alexandria via LeMat-Bulk
Functional: GGA-PBE
Structure: relaxed

Geometry as POSCAR:
```
Li4ScBe
1.0
0.000 3.647 3.647
3.647 0.000 3.647
3.647 3.647 0.000
Li Sc Be
4 1 1
Cartesian
2.720 4.574 4.574
4.574 4.574 2.720
4.574 2.720 4.574
2.720 2.720 2.720
5.470 5.470 5.470
0.000 0.000 0.000
```

Results
The value obtained for the total energy is -16.11 eV for the cell shown. The magnetic moment comes out at 0.0 μB/cell. Its density is 1.40 g cm⁻³. The crystal system is cubic.

[9]
Compound: Pm3Th3UN8
Source: Alexandria via LeMat-Bulk
Functional: GGA-PBE
Structure: relaxed

Geometry as POSCAR:
```
Pm3Th3UN8
1.0
-1.261 -6.786 -2.206
6.789 2.519 0.270
-3.628 -1.292 6.050
Pm Th U N
3 3 1 8
Cartesian
0.000 0.000 0.000
3.394 1.259 0.135
2.764 -2.133 -0.968
-2.445 -4.039 1.922
0.950 -2.780 2.057
1.580 0.613 3.160
-1.814 -0.646 3.025
2.177 -0.779 1.152
-0.278 -4.780 2.962
1.780 -4.260 0.186
0.119 -1.299 3.928
-1.977 -5.654 0.037
3.876 0.095 4.077
-1.279 -1.899 1.257
3.178 -3.660 2.856
```

Results
As for the formation energy without anion corrections: -2113 kJ/mol of formula units. The magnetic moment comes out at 0.0 μB/cell. Its density is 9.29 g cm⁻³. The crystal system is trigonal.

[10]
Compound: CaYMo2H
Source: Alexandria via LeMat-Bulk
Functional: GGA-PBE
Structure: relaxed

Geometry as POSCAR:
```
CaYMo2H
1.0
5.477 0.000 0.000
0.000 3.651 0.000
0.000 0.000 5.477
Y H Mo Ca
1 1 2 1
Cartesian
2.738 1.825 2.738
0.000 1.825 0.000
0.000 0.000 2.738
2.738 0.000 0.000
0.000 0.000 0.000
```

Results
The value obtained for the total energy is -25.65 eV for the cell shown. The magnetic moment comes out at 6.0 μB/cell. Its density is 4.88 g cm⁻³. The crystal system is tetragonal.

[11]
Compound: LaPb2F11
Source: Alexandria via LeMat-Bulk
Functional: GGA-PBE
Structure: relaxed

Geometry as POSCAR:
```
LaPb2F11
1.0
7.177 0.000 3.741
3.285 7.633 2.454
0.048 -0.066 8.664
La Pb F
2 4 22
Cartesian
7.883 5.675 11.144
2.628 1.892 3.715
6.828 5.179 6.817
3.682 2.387 8.041
6.826 1.330 10.765
3.684 6.237 4.094
6.897 5.351 8.933
3.614 2.215 5.926
2.602 4.207 7.867
9.350 7.142 12.432
7.909 3.359 6.991
1.160 0.424 2.426
5.505 5.998 11.602
5.005 1.568 3.257
5.255 3.783 7.429
0.000 0.000 0.000
8.844 5.992 7.034
1.666 1.575 7.824
5.494 2.142 9.237
5.016 5.424 5.622
6.459 7.271 6.855
4.051 0.295 8.003
2.985 2.393 10.048
0.895 1.324 5.303
7.525 5.173 4.810
9.615 6.243 9.556
3.504 4.144 3.769
7.006 3.422 11.089
```

Results
As for the formation energy without anion corrections: -3422 kJ/mol of formula units. The magnetic moment comes out at 0.0 μB/cell. Its density is 5.35 g cm⁻³. The crystal system is orthorhombic.

[12]
Compound: LiCd3Te
Source: Alexandria via LeMat-Bulk
Functional: GGA-PBE
Structure: relaxed

Geometry as POSCAR:
```
LiCd3Te
1.0
5.067 0.000 0.000
0.000 5.067 0.000
0.000 0.000 5.067
Te Li Cd
1 1 3
Cartesian
2.533 2.533 2.533
0.000 0.000 0.000
0.000 2.533 0.000
0.000 0.000 2.533
2.533 0.000 0.000
```

Results
As for the formation energy without anion corrections: 99 kJ/mol of formula units. Its energy above the most stable polymorph in this dataset is 0.000 eV per atom. The magnetic moment comes out at 0.0 μB/cell. Its density is 6.02 g cm⁻³. The crystal system is cubic.